A plane-wave DFT calculation with PBE was carried out for a relaxed structure of TlZnB.

Cell and atoms, written as POSCAR:
```
TlZnB
1.0
-2.6378 2.7919 -7.1241
-2.9554 -0.9377 0.7268
-1.6633 8.2153 3.8354
Tl B Zn
4 4 4
Cartesian
-4.7763 7.2569 0.4062
-5.8841 7.6097 -3.6428
-1.3725 2.4597 1.0810
-2.4802 2.8125 -2.9681
-1.4777 -0.4688 0.3634
0.0000 0.0000 0.0000
-3.6283 5.0347 -1.2809
-2.1506 5.5036 -1.6443
-4.8939 4.8485 -3.1789
-3.0058 0.6414 -0.9293
-4.2508 9.4281 -1.6325
-2.3627 5.2210 0.6171
```

Results
E_tot (eV/atom): -3.041
Volume (Å³ per cell): 237.6
Density of states at the Fermi level (states/eV per atom): 0.356
Total magnetization (μB/cell): 0.00